# HoSc2

A relaxed HoSc2 crystal (GGA-PBE, Alexandria).

Output
- Fermi-level density of states: 4.84 states/eV/f.u.
- Formation energy: 0.053 eV/atom
- Calculated volume: 79.5 Å³/f.u.
- ρ: 5.33 Mg/m³
- Excess energy over the best structure of this formula in the dataset: 9 kJ/mol of formula units
- Space group: Pnma, No. 62

```
HoSc2
1.0
6.691 0.000 0.000
0.000 4.742 0.000
0.000 0.000 10.017
Ho Sc
4 8
Direct
0.128 0.250 0.086 Ho
0.372 0.750 0.586 Ho
0.628 0.250 0.414 Ho
0.872 0.750 0.914 Ho
0.122 0.250 0.747 Sc
0.125 0.250 0.417 Sc
0.375 0.750 0.917 Sc
0.378 0.750 0.247 Sc
0.622 0.250 0.753 Sc
0.625 0.250 0.083 Sc
0.875 0.750 0.583 Sc
0.878 0.750 0.253 Sc
```